(1)
# RbSrTlO3 PBE optimized geometry
# raw formation energy = -1483 meV/atom
data_RbSrTlO3
_space_group_name_H-M_alt 'P 1'
_space_group_IT_number 1
_cell_length_a 7.3837
_cell_length_b 7.3837
_cell_length_c 9.8940
_cell_angle_alpha 90.00
_cell_angle_beta 90.00
_cell_angle_gamma 148.93
loop_
_space_group_symop_operation_xyz
'x,y,z'
loop_
_atom_site_label
_atom_site_fract_x
_atom_site_fract_y
_atom_site_fract_z
Rb1 0.1761 0.8239 0.7500
Rb2 0.8239 0.1761 0.2500
Sr1 0.5000 0.5000 0.0000
Sr2 0.5000 0.5000 0.5000
Tl1 0.0851 0.9149 0.2500
Tl2 0.9149 0.0851 0.7500
O1 0.1116 0.8884 0.0462
O2 0.1116 0.8884 0.4538
O3 0.4805 0.5195 0.2500
O4 0.5195 0.4805 0.7500
O5 0.8884 0.1116 0.5462
O6 0.8884 0.1116 0.9538

---

(2)
# La2TlCoGe PBE optimized geometry
# E_form = -0.272 eV per atom
# D(E_F) = 2.8 states/eV/cell
data_La2TlCoGe
_space_group_name_H-M_alt 'P 1'
_space_group_IT_number 1
_cell_length_a 5.3608
_cell_length_b 5.3608
_cell_length_c 5.1058
_cell_angle_alpha 90.00
_cell_angle_beta 90.00
_cell_angle_gamma 90.00
loop_
_space_group_symop_operation_xyz
'x,y,z'
loop_
_atom_site_label
_atom_site_fract_x
_atom_site_fract_y
_atom_site_fract_z
La1 0.0000 0.5000 0.0000
La2 0.5000 0.0000 0.0000
Tl1 0.0000 0.0000 0.5000
Co1 0.0000 0.0000 0.0000
Ge1 0.5000 0.5000 0.5000